Computed, not measured: RbCaNb2 after structural relaxation at the PBE-GGA level of DFT.

Lattice parameters (Å, degrees): 9.0342 9.0342 6.9890 49.74 49.74 90.00
Last column: magnetic moment on the atom in μB.
Sites, in units of the cell vectors:
Nb 0.6193 0.1250 0.2500  0.90
Nb 0.1307 0.6250 0.2500  0.89
Nb 0.3750 0.3807 0.7500  0.89
Nb 0.8750 0.8693 0.7500  0.89
Ca 0.5000 0.5000 0.0000  0.12
Ca 0.2500 0.7500 0.5000  0.12
Rb 0.0000 0.0000 0.0000  0.05
Rb 0.7500 0.2500 0.5000  0.05

Output
DFT total energy, eV per atom: -4.01
Calculated formation energy, meV/atom: 1767
E above lowest polymorph, meV per atom: 0.0
SG: I-42d (122)